Zn2AgBi | PBE-GGA | relaxed

As for the symmetry: No. 122. The calculation puts the raw total energy at -2.179 eV per atom. The formation energy from the elements comes out at 0.14 eV/atom. Its density of states at the Fermi level is 3.26 states/eV per cell. Its calculated volume is 22.43 A^3/atom.

Structure (POSCAR):
```
Zn2AgBi
1.0
4.3886 0.0000 0.0000
0.0000 4.3886 0.0000
2.1943 2.1943 9.3179
Zn Bi Ag
4 2 2
Direct
0.5489 0.1250 0.2500 Zn
0.2011 0.6250 0.2500 Zn
0.3750 0.4511 0.7500 Zn
0.8750 0.7989 0.7500 Zn
0.0000 0.0000 0.0000 Bi
0.7500 0.2500 0.5000 Bi
0.5000 0.5000 0.0000 Ag
0.2500 0.7500 0.5000 Ag
```